This record from Alexandria via LeMat-Bulk describes a geometry-optimized NdSmGaSn structure. The functional is PBE.

* energy relative to the elements: -711.1 meV per atom
* total moment: 0.00 μB/cell
* distance to the lowest polymorph of the same formula: 0 meV/atom
* total energy: -4.840 eV/atom
* space-group type: Amm2 (38)

a = 4.589 Å, b = 4.252 Å, c = 6.185 Å
α = 90.00°, β = 111.78°, γ = 90.00°
Atoms (fractional coordinates):
Ga 0.583 0.500 0.167
Sn 0.422 0.000 0.844
Nd 0.137 0.000 0.274
Sm 0.857 0.500 0.715



This record from Alexandria via LeMat-Bulk describes a geometry-optimized NdSmTlGa structure. The functional is PBE.

* energy relative to the elements: -471.3 meV per atom
* total moment: 0.00 μB/cell
* distance to the lowest polymorph of the same formula: 0 meV/atom
* total energy: -4.191 eV/atom
* space-group type: P4mm (99)

a = 3.726 Å, b = 3.726 Å, c = 7.795 Å
α = 90.00°, β = 90.00°, γ = 90.00°
Atoms (fractional coordinates):
Nd 0.500 0.500 0.124
Sm 0.500 0.500 0.590
Ga 0.000 0.000 0.361
Tl 0.000 0.000 0.853



This record from Alexandria via LeMat-Bulk describes a geometry-optimized NdSmTlGa structure. The functional is PBE.

* energy relative to the elements: -441.6 meV per atom
* total moment: 0.00 μB/cell
* distance to the lowest polymorph of the same formula: 30 meV/atom
* total energy: -4.162 eV/atom
* space-group type: F-43m (216)

a = 5.357 Å, b = 5.357 Å, c = 5.357 Å
α = 60.00°, β = 60.00°, γ = 60.00°
Atoms (fractional coordinates):
Tl 0.750 0.750 0.750
Ga 0.250 0.250 0.250
Sm 0.000 0.000 0.000
Nd 0.500 0.500 0.500



This record from Alexandria via LeMat-Bulk describes a geometry-optimized Nd2Sm2ZnGa4 structure. The functional is PBE.

* energy relative to the elements: -323.4 meV per atom
* total moment: 0.17 μB/cell
* total energy: -3.918 eV/atom
* space-group type: I4/mmm (139)

a = 6.693 Å, b = 6.693 Å, c = 6.693 Å
α = 96.95°, β = 116.07°, γ = 116.07°
Atoms (fractional coordinates):
Ga 0.483 0.242 0.242
Ga 0.000 0.242 0.758
Ga 0.517 0.758 0.758
Ga 0.000 0.758 0.242
Nd 0.500 0.750 0.250
Nd 0.500 0.250 0.750
Sm 0.000 0.314 0.314
Sm 0.000 0.686 0.686
Zn 0.000 0.000 0.000



This record from Alexandria via LeMat-Bulk describes a geometry-optimized Nd2GaSn2 structure. The functional is PBE.

* energy relative to the elements: -670.8 meV per atom
* total moment: 0.00 μB/cell
* distance to the lowest polymorph of the same formula: 0 meV/atom
* total energy: -4.784 eV/atom
* space-group type: C2/m (12)

a = 4.543 Å, b = 6.291 Å, c = 10.582 Å
α = 84.25°, β = 77.61°, γ = 68.83°
Atoms (fractional coordinates):
Nd 0.093 0.719 0.096
Nd 0.698 0.261 0.343
Nd 0.907 0.281 0.904
Nd 0.302 0.739 0.657
Sn 0.356 0.167 0.122
Sn 0.073 0.282 0.571
Sn 0.644 0.833 0.878
Sn 0.927 0.718 0.429
Ga 0.468 0.779 0.284
Ga 0.532 0.221 0.716



This record from Alexandria via LeMat-Bulk describes a geometry-optimized Nd5Ga2Sn structure. The functional is PBE.

* energy relative to the elements: -538.7 meV per atom
* total moment: 0.00 μB/cell
* total energy: -4.776 eV/atom
* space-group type: I4/mcm (140)

a = 8.083 Å, b = 8.083 Å, c = 9.185 Å
α = 116.10°, β = 116.10°, γ = 90.00°
Atoms (fractional coordinates):
Nd 0.023 0.523 0.708
Nd 0.815 0.977 0.292
Nd 0.477 0.315 0.292
Nd 0.000 0.000 0.000
Nd 0.977 0.477 0.292
Nd 0.185 0.023 0.708
Nd 0.685 0.185 0.708
Nd 0.523 0.685 0.708
Nd 0.500 0.500 0.000
Nd 0.315 0.815 0.292
Sn 0.250 0.250 0.500
Sn 0.750 0.750 0.500
Ga 0.878 0.622 0.000
Ga 0.378 0.878 0.000
Ga 0.122 0.378 0.000
Ga 0.622 0.122 0.000



This record from Alexandria via LeMat-Bulk describes a geometry-optimized NdGaSn2 structure. The functional is PBE.

* energy relative to the elements: -369.0 meV per atom
* total moment: 0.00 μB/cell
* distance to the lowest polymorph of the same formula: 148 meV/atom
* total energy: -4.319 eV/atom
* space-group type: P4/mmm (123)

a = 3.901 Å, b = 3.901 Å, c = 6.753 Å
α = 90.00°, β = 90.00°, γ = 90.00°
Atoms (fractional coordinates):
Sn 0.000 0.000 0.216
Sn 0.000 0.000 0.784
Nd 0.500 0.500 0.500
Ga 0.500 0.500 0.000



This record from Alexandria via LeMat-Bulk describes a geometry-optimized NdGaSn3 structure. The functional is PBE.

* energy relative to the elements: -344.8 meV per atom
* total moment: 0.00 μB/cell
* total energy: -4.305 eV/atom
* space-group type: Pbcm (57)

a = 6.487 Å, b = 6.347 Å, c = 12.731 Å
α = 90.00°, β = 90.00°, γ = 90.00°
Atoms (fractional coordinates):
Nd 0.750 0.013 0.303
Nd 0.250 0.487 0.303
Nd 0.750 0.513 0.697
Nd 0.250 0.987 0.697
Sn 0.500 0.250 0.500
Sn 0.250 0.481 0.740
Sn 0.500 0.750 0.500
Sn 0.750 0.519 0.260
Sn 0.750 0.019 0.740
Sn 0.250 0.650 0.061
Sn 0.750 0.850 0.061
Sn 0.250 0.981 0.260
Sn 0.000 0.250 0.500
Sn 0.750 0.350 0.939
Sn 0.250 0.150 0.939
Sn 0.000 0.750 0.500
Ga 0.500 0.250 0.117
Ga 0.000 0.250 0.117
Ga 0.500 0.750 0.883
Ga 0.000 0.750 0.883